<P>
Below is an optimized crystal structure of Y4HoMg2, with properties calculated at the PBE level.

```
Y4HoMg2
1.0
5.204 0.000 1.626
2.348 4.644 1.626
0.168 0.103 8.605
Y Mg Ho
4 2 1
Cartesian
6.463 3.974 6.740
4.386 2.697 4.245
3.334 2.050 7.613
1.257 0.773 5.117
2.203 1.355 2.091
5.517 3.393 9.766
0.000 0.000 0.000
```

## Properties
SG: R-3m, No. 166

=====

<Q>
Below is an optimized crystal structure of Y4HoMg2, with properties calculated at the PBE level.

```
Y4HoMg2
1.0
-3.662 2.557 -3.134
-2.358 -2.643 -4.150
-7.933 -2.479 2.499
Y Mg Ho
4 2 1
Cartesian
-6.724 -1.979 1.494
-9.710 -1.611 -4.216
-4.244 -0.953 -0.568
-7.229 -0.586 -6.278
-9.622 -2.376 -0.193
-4.331 -0.189 -4.592
-6.977 -1.282 -2.392
```

## Properties
SG: R-3m, No. 166

=====

<P> has the most favorable energy; the next structure is 0.093 eV/atom above.

=====

<P>
Below is an optimized crystal structure of YHoMg, with properties calculated at the PBE level.

```
YHoMg
1.0
-2.578 0.452 4.701
-2.977 -0.816 -1.554
-1.386 -9.953 0.202
Ho Mg Y
2 2 2
Cartesian
-3.734 -7.059 4.654
-2.706 -5.737 2.011
-4.777 -0.986 3.490
-3.243 -2.672 1.410
-5.757 -4.363 3.283
-3.658 -9.248 1.827
```

## Properties
SG: P2_1, No. 4

=====

<Q>
Below is an optimized crystal structure of YHoMg, with properties calculated at the PBE level.

```
YHoMg
1.0
3.392 0.000 0.000
0.000 5.435 0.000
0.000 -2.717 4.707
Ho Y Mg
1 1 1
Cartesian
0.172 0.000 0.000
2.115 2.717 1.569
1.104 0.000 3.138
```

## Properties
SG: P3m1, No. 156

=====

<P> has the most favorable energy; the next structure is 0.040 eV/atom above.